Below is an optimized crystal structure of Ba3AuI3, with properties calculated at the PBE-GGA level.

```
Ba3AuI3
1.0
-5.291 -6.525 8.714
9.188 -6.295 -4.739
4.189 10.344 4.685
I Ba Au
12 12 4
Direct
0.497 0.995 0.747
0.003 0.250 0.997
0.750 0.997 0.503
0.247 0.250 0.753
0.005 0.503 0.753
0.750 0.753 0.747
0.253 0.505 0.503
0.247 0.997 0.995
0.003 0.753 0.505
0.497 0.503 0.250
0.495 0.747 0.997
0.253 0.747 0.250
0.991 0.241 0.483
0.509 0.017 0.259
0.759 0.750 0.241
0.741 0.259 0.750
0.250 0.241 0.259
0.741 0.483 0.491
0.517 0.259 0.009
0.991 0.750 0.009
0.759 0.009 0.017
0.509 0.491 0.750
0.250 0.009 0.491
0.983 0.491 0.241
0.500 0.250 0.500
0.750 0.500 0.000
0.000 0.000 0.250
0.750 0.250 0.250
```

Values from the calculation:
E = -3.276 eV per atom
crystal system = cubic
ρ = 4.8 Mg/m³

Below is an optimized crystal structure of NbZnGa2, with properties calculated at the PBE-GGA level.

```
NbZnGa2
1.0
-0.462 -3.420 1.824
3.126 -2.067 1.092
0.903 0.764 5.838
Nb Zn Ga
1 1 2
Direct
0.672 0.672 0.984
0.493 0.493 0.522
0.247 0.247 0.259
0.088 0.088 0.735
```

Values from the calculation:
E = -4.256 eV per atom
crystal system = trigonal
ρ = 6.8 Mg/m³

Below is an optimized crystal structure of LaZnBi, with properties calculated at the PBE-GGA level.

```
LaZnBi
1.0
4.530 0.000 0.000
2.265 6.139 0.448
2.265 -0.072 6.083
Zn Bi La
2 2 2
Direct
0.364 0.610 0.662
0.636 0.390 0.338
0.694 0.849 0.763
0.306 0.151 0.237
0.961 0.278 0.801
0.039 0.722 0.199
```

Values from the calculation:
E = -3.948 eV per atom
crystal system = monoclinic
ρ = 8.1 Mg/m³

Below is an optimized crystal structure of SrLaAg4, with properties calculated at the PBE-GGA level.

```
SrLaAg4
1.0
4.489 0.002 1.651
2.128 5.738 1.136
0.278 -0.738 6.174
Ag Sr La
4 1 1
Direct
0.734 0.600 0.932
0.266 0.068 0.400
0.734 0.932 0.600
0.266 0.400 0.068
0.500 0.500 0.500
0.000 0.000 0.000
```

Values from the calculation:
crystal system = orthorhombic
excess energy over the best structure of this formula in the dataset = 0 meV per atom
ρ = 6.9 Mg/m³

Below is an optimized crystal structure of Pr2Mg, with properties calculated at the PBE-GGA level.

```
Pr2Mg
1.0
3.885 0.000 0.000
0.000 3.885 0.000
-1.942 -1.942 13.187
Mg Pr
2 4
Direct
0.000 0.000 0.000
0.750 0.250 0.500
0.571 0.571 0.141
0.321 0.821 0.641
0.429 0.429 0.859
0.179 0.679 0.359
```

Values from the calculation:
crystal system = tetragonal
excess energy over the best structure of this formula in the dataset = 159 meV per atom
ρ = 5.1 Mg/m³

Below is an optimized crystal structure of Pr6MgTl3, with properties calculated at the PBE-GGA level.

```
Pr6MgTl3
1.0
-3.256 2.848 5.070
-8.287 0.864 -5.807
-0.141 -8.892 4.904
Pr Tl Mg
12 6 2
Direct
0.255 0.692 0.308
0.074 0.682 0.644
0.074 0.356 0.318
0.855 0.433 0.052
0.698 0.038 0.962
0.574 0.644 0.682
0.355 0.567 0.948
0.198 0.962 0.038
0.855 0.948 0.567
0.355 0.052 0.433
0.755 0.308 0.692
0.574 0.318 0.356
0.888 0.062 0.309
0.750 0.631 0.369
0.250 0.369 0.631
0.388 0.938 0.691
0.388 0.309 0.062
0.888 0.691 0.938
0.649 0.815 0.185
0.149 0.185 0.815
```

Values from the calculation:
E = -3.876 eV per atom
crystal system = orthorhombic
ρ = 7.6 Mg/m³